Entry 1:
Compound: Sm6CuTc2Br3
Source: the Alexandria database
Functional: GGA-PBE
Structure: optimized geometry

Lattice parameters (Å, degrees): 6.902 6.902 8.408 97.65 97.65 121.28
Fractional coordinates of all 12 atoms:
1 Sm 0.094 0.429 0.783
2 Sm 0.202 0.202 0.181
3 Sm 0.429 0.094 0.783
4 Sm 0.571 0.906 0.217
5 Sm 0.798 0.798 0.819
6 Sm 0.906 0.571 0.217
7 Cu 0.500 0.500 0.000
8 Tc 0.185 0.815 0.000
9 Tc 0.815 0.185 0.000
10 Br 0.000 0.000 0.500
11 Br 0.331 0.669 0.500
12 Br 0.669 0.331 0.500

Results
- DOS at the Fermi energy: 0.426 states/eV per atom
- Space group: No. 12


Entry 2:
Compound: SmTlCuBr5
Source: the Alexandria database
Functional: GGA-PBE
Structure: optimized geometry

Lattice parameters (Å, degrees): 7.813 7.813 10.660 103.76 103.76 106.79
Fractional coordinates of all 16 atoms:
1 Sm 0.000 0.000 0.000
2 Sm 0.000 0.000 0.500
3 Tl 0.359 0.641 0.750
4 Tl 0.641 0.359 0.250
5 Cu 0.309 0.691 0.250
6 Cu 0.691 0.309 0.750
7 Br 0.087 0.680 0.379
8 Br 0.087 0.913 0.750
9 Br 0.247 0.387 0.070
10 Br 0.320 0.913 0.121
11 Br 0.387 0.247 0.570
12 Br 0.613 0.753 0.430
13 Br 0.680 0.087 0.879
14 Br 0.753 0.613 0.930
15 Br 0.913 0.087 0.250
16 Br 0.913 0.320 0.621

Results
- DOS at the Fermi energy: 0.000 states/eV per atom
- Space group: No. 15


Entry 3:
Compound: Cu3SnBr
Source: the Alexandria database
Functional: GGA-PBE
Structure: optimized geometry

Lattice parameters (Å, degrees): 4.738 4.738 4.738 90.00 90.00 90.00
Fractional coordinates of all 5 atoms:
1 Cu 0.000 0.000 0.500
2 Cu 0.000 0.500 0.000
3 Cu 0.500 0.000 0.000
4 Sn 0.500 0.500 0.500
5 Br 0.000 0.000 0.000

Results
- DOS at the Fermi energy: 0.563 states/eV per atom
- Space group: No. 221
- Polymorph energy (0 for the lowest one): 0.45 eV/f.u.


Entry 4:
Compound: Cu3SnBr9
Source: the Alexandria database
Functional: GGA-PBE
Structure: optimized geometry

Lattice parameters (Å, degrees): 10.686 10.686 13.207 122.81 122.81 46.63
Fractional coordinates of all 26 atoms:
1 Cu 0.062 0.938 0.500
2 Cu 0.272 0.493 0.590
3 Cu 0.493 0.272 0.090
4 Cu 0.519 0.728 0.443
5 Cu 0.728 0.519 0.943
6 Cu 0.938 0.062 0.000
7 Sn 0.009 0.496 0.764
8 Sn 0.496 0.009 0.264
9 Br 0.080 0.806 0.607
10 Br 0.090 0.169 0.702
11 Br 0.124 0.380 0.571
12 Br 0.169 0.090 0.202
13 Br 0.202 0.890 0.381
14 Br 0.336 0.411 0.925
15 Br 0.380 0.124 0.071
16 Br 0.411 0.336 0.425
17 Br 0.442 0.580 0.793
18 Br 0.580 0.442 0.293
19 Br 0.615 0.665 0.119
20 Br 0.616 0.888 0.456
21 Br 0.665 0.615 0.619
22 Br 0.806 0.080 0.107
23 Br 0.823 0.925 0.311
24 Br 0.888 0.616 0.956
25 Br 0.890 0.202 0.881
26 Br 0.925 0.823 0.811

Results
- DOS at the Fermi energy: 0.490 states/eV per atom
- Space group: No. 9


Entry 5:
Compound: Cu2Sn2Br7
Source: the Alexandria database
Functional: GGA-PBE
Structure: optimized geometry

Lattice parameters (Å, degrees): 7.430 7.430 7.811 91.38 91.38 104.60
Fractional coordinates of all 11 atoms:
1 Cu 0.197 0.197 0.305
2 Cu 0.803 0.803 0.695
3 Sn 0.322 0.678 0.000
4 Sn 0.678 0.322 0.000
5 Br 0.000 0.000 0.500
6 Br 0.071 0.443 0.246
7 Br 0.365 0.365 0.811
8 Br 0.443 0.071 0.246
9 Br 0.557 0.929 0.754
10 Br 0.635 0.635 0.189
11 Br 0.929 0.557 0.754

Results
- DOS at the Fermi energy: 0.526 states/eV per atom
- Space group: No. 12
- Polymorph energy (0 for the lowest one): 0.00 eV/f.u.


Entry 6:
Compound: Cu2Sn2Br7
Source: the Alexandria database
Functional: GGA-PBE
Structure: optimized geometry

Lattice parameters (Å, degrees): 7.446 7.446 9.694 97.25 97.25 116.42
Fractional coordinates of all 11 atoms:
1 Cu 0.210 0.210 0.221
2 Cu 0.790 0.790 0.779
3 Sn 0.320 0.680 0.500
4 Sn 0.680 0.320 0.500
5 Br 0.000 0.000 0.000
6 Br 0.037 0.689 0.687
7 Br 0.311 0.963 0.313
8 Br 0.472 0.472 0.699
9 Br 0.528 0.528 0.301
10 Br 0.689 0.037 0.687
11 Br 0.963 0.311 0.313

Results
- DOS at the Fermi energy: 0.574 states/eV per atom
- Space group: No. 12
- Polymorph energy (0 for the lowest one): 0.10 eV/f.u.


Entry 7:
Compound: Cu2SnBr6
Source: the Alexandria database
Functional: GGA-PBE
Structure: optimized geometry

Lattice parameters (Å, degrees): 8.988 8.988 7.017 97.99 97.99 84.56
Fractional coordinates of all 18 atoms:
1 Cu 0.096 0.254 0.322
2 Cu 0.254 0.096 0.822
3 Cu 0.746 0.904 0.178
4 Cu 0.904 0.746 0.678
5 Sn 0.390 0.610 0.750
6 Sn 0.610 0.390 0.250
7 Br 0.047 0.211 0.633
8 Br 0.117 0.632 0.873
9 Br 0.211 0.047 0.133
10 Br 0.295 0.448 0.384
11 Br 0.368 0.883 0.627
12 Br 0.448 0.295 0.884
13 Br 0.552 0.705 0.116
14 Br 0.632 0.117 0.373
15 Br 0.705 0.552 0.616
16 Br 0.789 0.953 0.867
17 Br 0.883 0.368 0.127
18 Br 0.953 0.789 0.367

Results
- DOS at the Fermi energy: 1.094 states/eV per atom
- Space group: No. 15
- Polymorph energy (0 for the lowest one): 0.22 eV/f.u.


Entry 8:
Compound: CuSn2Br2
Source: the Alexandria database
Functional: GGA-PBE
Structure: optimized geometry

Lattice parameters (Å, degrees): 7.326 7.326 5.274 90.00 90.00 90.00
Fractional coordinates of all 10 atoms:
1 Cu 0.000 0.000 0.000
2 Cu 0.500 0.500 0.000
3 Sn 0.210 0.290 0.000
4 Sn 0.290 0.790 0.000
5 Sn 0.710 0.210 0.000
6 Sn 0.790 0.710 0.000
7 Br 0.178 0.678 0.500
8 Br 0.322 0.178 0.500
9 Br 0.678 0.822 0.500
10 Br 0.822 0.322 0.500

Results
- DOS at the Fermi energy: 0.274 states/eV per atom
- Space group: No. 127


Entry 9:
Compound: Cu2SnBr6
Source: the Alexandria database
Functional: GGA-PBE
Structure: optimized geometry

Lattice parameters (Å, degrees): 10.510 10.510 6.746 108.66 108.66 88.25
Fractional coordinates of all 18 atoms:
1 Cu 0.150 0.282 0.038
2 Cu 0.282 0.150 0.538
3 Cu 0.718 0.850 0.462
4 Cu 0.850 0.718 0.962
5 Sn 0.272 0.728 0.250
6 Sn 0.728 0.272 0.750
7 Br 0.072 0.729 0.908
8 Br 0.129 0.291 0.679
9 Br 0.254 0.507 0.331
10 Br 0.271 0.928 0.592
11 Br 0.291 0.129 0.179
12 Br 0.493 0.746 0.169
13 Br 0.507 0.254 0.831
14 Br 0.709 0.871 0.821
15 Br 0.729 0.072 0.408
16 Br 0.746 0.493 0.669
17 Br 0.871 0.709 0.321
18 Br 0.928 0.271 0.092

Results
- DOS at the Fermi energy: 0.237 states/eV per atom
- Space group: No. 15
- Polymorph energy (0 for the lowest one): 0.00 eV/f.u.


Entry 10:
Compound: Cu3SnBr
Source: the Alexandria database
Functional: GGA-PBE
Structure: optimized geometry

Lattice parameters (Å, degrees): 4.965 4.965 4.965 90.00 90.00 90.00
Fractional coordinates of all 5 atoms:
1 Cu 0.000 0.000 0.500
2 Cu 0.000 0.500 0.000
3 Cu 0.500 0.000 0.000
4 Sn 0.000 0.000 0.000
5 Br 0.500 0.500 0.500

Results
- DOS at the Fermi energy: 1.709 states/eV per atom
- Space group: No. 221
- Polymorph energy (0 for the lowest one): 0.00 eV/f.u.


Entry 11:
Compound: Cu2Sn2Br
Source: the Alexandria database
Functional: GGA-PBE
Structure: optimized geometry

Lattice parameters (Å, degrees): 7.886 7.886 3.360 90.00 90.00 90.00
Fractional coordinates of all 10 atoms:
1 Cu 0.114 0.386 0.000
2 Cu 0.386 0.886 0.000
3 Cu 0.614 0.114 0.000
4 Cu 0.886 0.614 0.000
5 Sn 0.175 0.675 0.500
6 Sn 0.325 0.175 0.500
7 Sn 0.675 0.825 0.500
8 Sn 0.825 0.325 0.500
9 Br 0.000 0.000 0.000
10 Br 0.500 0.500 0.000

Results
- DOS at the Fermi energy: 0.350 states/eV per atom
- Space group: No. 127


Entry 12:
Compound: Cu2SnBr8
Source: the Alexandria database
Functional: GGA-PBE
Structure: optimized geometry

Lattice parameters (Å, degrees): 8.043 8.043 6.609 102.52 102.52 90.32
Fractional coordinates of all 11 atoms:
1 Cu 0.199 0.199 0.164
2 Cu 0.801 0.801 0.836
3 Sn 0.000 0.000 0.500
4 Br 0.063 0.745 0.696
5 Br 0.222 0.222 0.822
6 Br 0.255 0.937 0.304
7 Br 0.421 0.421 0.315
8 Br 0.579 0.579 0.685
9 Br 0.745 0.063 0.696
10 Br 0.778 0.778 0.178
11 Br 0.937 0.255 0.304

Results
- Space group: No. 12


Entry 13:
Compound: Cu2Sn3Br8
Source: the Alexandria database
Functional: GGA-PBE
Structure: optimized geometry

Lattice parameters (Å, degrees): 8.695 8.695 7.406 106.87 106.87 59.09
Fractional coordinates of all 13 atoms:
1 Cu 0.096 0.096 0.069
2 Cu 0.904 0.904 0.931
3 Sn 0.242 0.758 0.500
4 Sn 0.500 0.500 0.000
5 Sn 0.758 0.242 0.500
6 Br 0.122 0.122 0.766
7 Br 0.122 0.640 0.758
8 Br 0.360 0.878 0.242
9 Br 0.382 0.382 0.259
10 Br 0.618 0.618 0.741
11 Br 0.640 0.122 0.758
12 Br 0.878 0.360 0.242
13 Br 0.878 0.878 0.234

Results
- Space group: No. 12


Entry 14:
Compound: Cu2TcSnBr
Source: the Alexandria database
Functional: GGA-PBE
Structure: optimized geometry

Lattice parameters (Å, degrees): 4.905 4.905 4.646 90.00 90.00 90.00
Fractional coordinates of all 5 atoms:
1 Cu 0.000 0.500 0.000
2 Cu 0.500 0.000 0.000
3 Tc 0.000 0.000 0.000
4 Sn 0.500 0.500 0.500
5 Br 0.000 0.000 0.500

Results
- DOS at the Fermi energy: 0.838 states/eV per atom
- Space group: No. 123


Entry 15:
Compound: CuSn2TeBr
Source: the Alexandria database
Functional: GGA-PBE
Structure: optimized geometry

Lattice parameters (Å, degrees): 5.350 5.350 4.747 90.00 90.00 90.00
Fractional coordinates of all 5 atoms:
1 Cu 0.000 0.000 0.000
2 Sn 0.000 0.500 0.000
3 Sn 0.500 0.000 0.000
4 Te 0.500 0.500 0.500
5 Br 0.000 0.000 0.500

Results
- DOS at the Fermi energy: 0.259 states/eV per atom
- Space group: No. 123


Entry 16:
Compound: Cu2SnTe2Br
Source: the Alexandria database
Functional: GGA-PBE
Structure: optimized geometry

Lattice parameters (Å, degrees): 8.421 4.981 8.990 90.00 109.14 90.00
Fractional coordinates of all 12 atoms:
1 Cu 0.210 0.002 0.142
2 Cu 0.210 0.498 0.142
3 Cu 0.790 0.502 0.858
4 Cu 0.790 0.998 0.858
5 Sn 0.425 0.250 0.646
6 Sn 0.575 0.750 0.354
7 Te 0.254 0.750 0.410
8 Te 0.475 0.250 0.125
9 Te 0.525 0.750 0.875
10 Te 0.746 0.250 0.590
11 Br 0.069 0.750 0.877
12 Br 0.931 0.250 0.123

Results
- DOS at the Fermi energy: 0.324 states/eV per atom
- Space group: No. 11


Entry 17:
Compound: TlCuSnBr4
Source: the Alexandria database
Functional: GGA-PBE
Structure: optimized geometry

Lattice parameters (Å, degrees): 6.665 7.944 9.003 90.00 108.87 90.00
Fractional coordinates of all 14 atoms:
1 Tl 0.235 0.250 0.056
2 Tl 0.765 0.750 0.944
3 Cu 0.182 0.750 0.311
4 Cu 0.818 0.250 0.689
5 Sn 0.212 0.250 0.553
6 Sn 0.788 0.750 0.447
7 Br 0.016 0.512 0.732
8 Br 0.016 0.988 0.732
9 Br 0.433 0.750 0.154
10 Br 0.449 0.750 0.581
11 Br 0.551 0.250 0.419
12 Br 0.567 0.250 0.846
13 Br 0.984 0.012 0.268
14 Br 0.984 0.488 0.268

Results
- DOS at the Fermi energy: 0.000 states/eV per atom
- Space group: No. 11


Entry 18:
Compound: Tl2CuSnBr5
Source: the Alexandria database
Functional: GGA-PBE
Structure: optimized geometry

Lattice parameters (Å, degrees): 9.924 9.924 14.264 90.00 90.00 154.84
Fractional coordinates of all 18 atoms:
1 Tl 0.104 0.896 0.500
2 Tl 0.124 0.876 0.153
3 Tl 0.876 0.124 0.653
4 Tl 0.896 0.104 0.000
5 Cu 0.443 0.557 0.245
6 Cu 0.557 0.443 0.745
7 Sn 0.194 0.806 0.846
8 Sn 0.806 0.194 0.346
9 Br 0.032 0.968 0.827
10 Br 0.295 0.705 0.491
11 Br 0.315 0.685 0.195
12 Br 0.343 0.657 0.829
13 Br 0.496 0.504 0.593
14 Br 0.504 0.496 0.093
15 Br 0.657 0.343 0.329
16 Br 0.685 0.315 0.695
17 Br 0.705 0.295 0.991
18 Br 0.968 0.032 0.327

Results
- Space group: No. 36


Entry 19:
Compound: TlCu2SnBr8
Source: the Alexandria database
Functional: GGA-PBE
Structure: optimized geometry

Lattice parameters (Å, degrees): 7.223 7.886 9.325 103.89 96.52 113.12
Fractional coordinates of all 12 atoms:
1 Tl 0.000 0.000 0.000
2 Cu 0.376 0.390 0.829
3 Cu 0.624 0.610 0.171
4 Sn 0.000 0.000 0.500
5 Br 0.021 0.753 0.251
6 Br 0.033 0.776 0.657
7 Br 0.412 0.220 0.589
8 Br 0.487 0.718 0.977
9 Br 0.513 0.282 0.023
10 Br 0.588 0.780 0.411
11 Br 0.967 0.224 0.343
12 Br 0.979 0.247 0.749

Results
- DOS at the Fermi energy: 0.272 states/eV per atom
- Space group: No. 2


Entry 20:
Compound: TlCuSnBr5
Source: the Alexandria database
Functional: GGA-PBE
Structure: optimized geometry

Lattice parameters (Å, degrees): 7.765 7.765 10.744 103.99 103.99 106.62
Fractional coordinates of all 16 atoms:
1 Tl 0.158 0.842 0.750
2 Tl 0.842 0.158 0.250
3 Cu 0.191 0.809 0.250
4 Cu 0.809 0.191 0.750
5 Sn 0.500 0.500 0.000
6 Sn 0.500 0.500 0.500
7 Br 0.115 0.248 0.920
8 Br 0.184 0.612 0.395
9 Br 0.248 0.115 0.420
10 Br 0.388 0.816 0.105
11 Br 0.431 0.569 0.750
12 Br 0.569 0.431 0.250
13 Br 0.612 0.184 0.895
14 Br 0.752 0.885 0.580
15 Br 0.816 0.388 0.605
16 Br 0.885 0.752 0.080

Results
- DOS at the Fermi energy: 0.450 states/eV per atom
- Space group: No. 15


Number 1: raw formation energy -0.579 eV per atom. Number 2: raw formation energy -1.199 eV per atom. Number 3: raw formation energy 0.794 eV per atom. Number 4: raw formation energy -0.364 eV per atom. Number 5: raw formation energy -0.517 eV per atom. Number 6: raw formation energy -0.508 eV per atom. Number 7: raw formation energy -0.421 eV per atom. Number 8: raw formation energy -0.177 eV per atom. Number 9: raw formation energy -0.445 eV per atom. Number 10: raw formation energy 0.704 eV per atom. Number 11: raw formation energy 0.115 eV per atom. Number 12: raw formation energy -0.393 eV per atom. Number 13: raw formation energy -0.596 eV per atom. Number 14: raw formation energy 0.934 eV per atom. Number 15: raw formation energy 0.048 eV per atom. Number 16: raw formation energy -0.146 eV per atom. Number 17: raw formation energy -0.630 eV per atom. Number 18: raw formation energy -0.697 eV per atom. Number 19: raw formation energy -0.527 eV per atom. Number 20: raw formation energy -0.615 eV per atom.